Below is a geometry-optimized HoGeHO4 structure, with properties calculated at the PBE-GGA level.

Values from the calculation:
- calculated total energy (eV per atom) = -6.351

```
data_HoGeHO4
_space_group_name_H-M_alt 'P n m a'
_space_group_IT_number 62
_space_group_name_Hall '-P 2ac 2n'
_cell_length_a 11.0441
_cell_length_b 5.9910
_cell_length_c 4.8967
_cell_angle_alpha 90.00
_cell_angle_beta 90.00
_cell_angle_gamma 90.00
loop_
_atom_site_label
_atom_site_fract_x
_atom_site_fract_y
_atom_site_fract_z
_atom_site_occupancy
Ho1 0.2456 0.2500 0.0180 1
Ge1 0.0631 0.7500 0.9671 1
H1 0.0000 0.0000 0.5000 1
O1 0.0549 0.7500 0.3377 1
O2 0.0683 0.2500 0.2304 1
O3 0.1613 0.5374 0.8386 1
```